# 1
A plane-wave DFT calculation with PBE was carried out for a geometry-optimized CaY structure.

Properties
As for the crystal system: hexagonal. As for the total DFT energy (no corrections): -3.987 eV/atom. The density of states at the Fermi level comes out at 6.51 states/eV per cell. The formation energy from the elements is 246 meV/atom. The magnetic moment comes out at 0.79 μB/f.u. The volume is 36.8 Å³ per atom.

a = 3.604 Å, b = 3.604 Å, c = 13.080 Å
α = 90.00°, β = 90.00°, γ = 120.00°
Fractional positions:
Y  0.667  0.333  0.818
Y  0.333  0.667  0.318
Ca  0.333  0.667  0.053
Ca  0.667  0.333  0.553

---

# 2
A plane-wave DFT calculation with PBE was carried out for a geometry-optimized LaYSbTe2 structure.

Properties
As for the crystal system: tetragonal. As for the total DFT energy (no corrections): -4.516 eV/atom. The density of states at the Fermi level comes out at 4.95 states/eV per cell. As for the formation energy without anion corrections: -157 meV per atom. The magnetic moment comes out at 0.00 μB/f.u. The volume is 42.5 Å³ per atom.

a = 5.973 Å, b = 5.973 Å, c = 5.958 Å
α = 90.00°, β = 90.00°, γ = 90.00°
Fractional positions:
Sb  0.000  0.000  0.500
La  0.000  0.000  0.000
Te  0.500  0.000  0.000
Te  0.000  0.500  0.000
Y  0.500  0.500  0.500

---

# 3
A plane-wave DFT calculation with PBE was carried out for a geometry-optimized Sm3Pb4S8 structure.

Properties
As for the crystal system: monoclinic. As for the total DFT energy (no corrections): -5.289 eV/atom. The density of states at the Fermi level comes out at 2.93 states/eV per cell. As for the formation energy without anion corrections: -1155 meV per atom. The magnetic moment comes out at 0.00 μB/f.u. The volume is 26.5 Å³ per atom.

a = 8.238 Å, b = 8.261 Å, c = 8.261 Å
α = 89.72°, β = 120.12°, γ = 120.12°
Fractional positions:
Pb  0.000  0.000  0.000
Pb  0.000  0.000  0.500
Pb  0.500  0.000  0.000
Pb  0.000  0.500  0.000
S  0.000  0.253  0.747
S  0.505  0.258  0.258
S  0.000  0.747  0.253
S  0.495  0.742  0.742
S  0.500  0.256  0.744
S  0.500  0.744  0.256
S  0.019  0.261  0.261
S  0.981  0.739  0.739
Sm  0.500  0.000  0.500
Sm  0.500  0.500  0.500
Sm  0.500  0.500  0.000

---

# 4
A plane-wave DFT calculation with PBE was carried out for a geometry-optimized SmHo2ErP4 structure.

Properties
As for the crystal system: monoclinic. As for the total DFT energy (no corrections): -6.607 eV/atom. The density of states at the Fermi level comes out at 0.83 states/eV per cell. The formation energy from the elements is -1598 meV/atom. The magnetic moment comes out at 0.00 μB/f.u. The volume is 22.9 Å³ per atom.

a = 4.015 Å, b = 6.950 Å, c = 6.950 Å
α = 109.47°, β = 90.00°, γ = 90.00°
Fractional positions:
Ho  0.500  0.000  0.500
Ho  0.000  0.500  0.500
P  0.000  0.245  0.745
P  0.500  0.753  0.748
P  0.000  0.755  0.255
P  0.500  0.247  0.252
Sm  0.500  0.500  0.000
Er  0.000  0.000  0.000

---

# 5
A plane-wave DFT calculation with PBE was carried out for a geometry-optimized HoZr2Ga6 structure.

Properties
As for the crystal system: orthorhombic. As for the total DFT energy (no corrections): -4.852 eV/atom. The density of states at the Fermi level comes out at 4.71 states/eV per cell. The formation energy from the elements is -426 meV/atom. The magnetic moment comes out at 0.00 μB/f.u. The volume is 20.2 Å³ per atom.

a = 4.153 Å, b = 7.605 Å, c = 7.605 Å
α = 52.48°, β = 74.16°, γ = 74.16°
Fractional positions:
Zr  0.880  0.620  0.620
Zr  0.120  0.380  0.380
Ga  0.500  0.311  0.689
Ga  0.690  0.013  0.608
Ga  0.310  0.392  0.987
Ga  0.310  0.987  0.392
Ga  0.500  0.689  0.311
Ga  0.690  0.608  0.013
Ho  0.000  0.000  0.000

---

# 6
A plane-wave DFT calculation with PBE was carried out for a geometry-optimized Rb3V2HgS8 structure.

Properties
As for the crystal system: trigonal. As for the total DFT energy (no corrections): -4.640 eV/atom. The density of states at the Fermi level comes out at 10.60 states/eV per cell. As for the formation energy without anion corrections: -750 meV per atom. The magnetic moment comes out at 0.00 μB/f.u. The volume is 29.7 Å³ per atom.

a = 7.092 Å, b = 7.092 Å, c = 9.549 Å
α = 90.00°, β = 90.00°, γ = 120.00°
Fractional positions:
S  0.329  0.165  0.691
S  0.165  0.329  0.309
S  0.835  0.671  0.691
S  0.165  0.835  0.309
S  0.333  0.667  0.021
S  0.671  0.835  0.309
S  0.835  0.165  0.691
S  0.667  0.333  0.979
Rb  0.333  0.667  0.660
Rb  0.667  0.333  0.340
Rb  0.000  0.000  0.000
V  0.667  0.333  0.758
V  0.333  0.667  0.242
Hg  0.000  0.000  0.500

---

# 7
A plane-wave DFT calculation with PBE was carried out for a geometry-optimized Er3CoTe2 structure.

Properties
As for the crystal system: orthorhombic. As for the total DFT energy (no corrections): -5.225 eV/atom. The density of states at the Fermi level comes out at 6.05 states/eV per cell. As for the formation energy without anion corrections: -712 meV per atom. The magnetic moment comes out at 0.00 μB/f.u. The volume is 28.7 Å³ per atom.

a = 4.011 Å, b = 5.907 Å, c = 7.842 Å
α = 112.13°, β = 90.00°, γ = 90.00°
Fractional positions:
Co  0.000  0.000  0.000
Er  0.000  0.500  0.000
Er  0.500  0.120  0.239
Er  0.500  0.880  0.761
Te  0.500  0.337  0.675
Te  0.500  0.663  0.325

---

# 8
A plane-wave DFT calculation with PBE was carried out for a geometry-optimized ReRu2Cl2 structure.

Properties
As for the crystal system: tetragonal. As for the total DFT energy (no corrections): -5.711 eV/atom. The density of states at the Fermi level comes out at 5.71 states/eV per cell. As for the formation energy without anion corrections: 1228 meV per atom. The magnetic moment comes out at 1.76 μB/f.u. The volume is 16.5 Å³ per atom.

a = 4.780 Å, b = 4.780 Å, c = 4.940 Å
α = 61.06°, β = 61.06°, γ = 90.00°
Fractional positions:
Cl  0.313  0.313  0.374
Cl  0.687  0.687  0.626
Ru  0.250  0.750  0.500
Ru  0.750  0.250  0.500
Re  0.000  0.000  0.000